[1]
Here is MnAsOs after structural relaxation from Alexandria. Energies are from PBE-GGA.

The structure in extended XYZ format:
```
3
Lattice="4.1868 0.0000 0.0000 -2.0934 3.6259 0.0000 0.0000 0.0000 2.9480" Properties=species:S:1:pos:R:3 pbc="T T T"
Mn 0.0000 0.0000 0.0000
As 0.0000 2.4173 1.4740
Os 2.0934 1.2086 1.4740
```

Computed properties:
Space-group type: No. 187
Relative energy among the computed polymorphs, meV/atom: 35
Magnetic moment, μB/f.u.: 3.21

=====

[2]
Here is MnAs2Os after structural relaxation from Alexandria. Energies are from PBE-GGA.

The structure in extended XYZ format:
```
4
Lattice="0.0000 3.0252 3.0252 3.0252 0.0000 3.0252 3.0252 3.0252 0.0000" Properties=species:S:1:pos:R:3 pbc="T T T"
Mn 0.0000 0.0000 0.0000
As 1.5126 1.5126 1.5126
As 4.5378 4.5378 4.5378
Os 3.0252 3.0252 3.0252
```

Computed properties:
Space-group type: No. 225
Relative energy among the computed polymorphs, meV/atom: 148
Magnetic moment, μB/f.u.: 0.00

=====

[3]
Here is MnAsOs after structural relaxation from Alexandria. Energies are from PBE-GGA.

The structure in extended XYZ format:
```
3
Lattice="-1.4620 1.9496 3.7576 1.4620 -1.9496 3.7576 1.4620 1.9496 -3.7576" Properties=species:S:1:pos:R:3 pbc="T T T"
Mn 0.0000 0.0000 0.0000
As 0.0000 0.0000 5.1104
Os 0.0000 0.0000 2.6254
```

Computed properties:
Space-group type: No. 44
Relative energy among the computed polymorphs, meV/atom: 199
Magnetic moment, μB/f.u.: 2.40

=====

[4]
Here is MnAs2Os after structural relaxation from Alexandria. Energies are from PBE-GGA.

The structure in extended XYZ format:
```
4
Lattice="-1.5138 2.1593 4.7666 1.5138 -2.1593 4.7666 1.5138 2.1593 -4.7666" Properties=species:S:1:pos:R:3 pbc="T T T"
Mn 0.0000 0.0000 0.0000
As 1.5138 0.0000 2.2077
As 0.0000 0.0000 4.8872
Os 0.0000 2.1593 2.1597
```

Computed properties:
Space-group type: No. 44
Relative energy among the computed polymorphs, meV/atom: 198
Magnetic moment, μB/f.u.: 2.96